Entry 1:
Density functional theory data (PBE-GGA) for a geometry-optimized NbPSe4 structure.

As for the uncorrected formation energy: -0.31 eV per atom.

Cell and atoms, written as POSCAR:
```
NbPSe4
1.0
6.578 0.000 0.000
0.000 6.592 0.000
0.000 0.000 11.487
Nb P Se
2 2 8
Cartesian
0.000 0.000 0.000 Nb
0.000 3.296 5.743 Nb
0.000 0.000 5.743 P
3.289 0.000 0.000 P
1.260 1.635 4.491 Se
1.260 4.958 6.996 Se
1.663 1.257 10.231 Se
1.663 5.335 1.256 Se
4.915 1.257 1.256 Se
4.915 5.335 10.231 Se
5.317 1.635 6.996 Se
5.317 4.958 4.491 Se
```

Entry 2:
Density functional theory data (PBE-GGA) for a geometry-optimized NbPSe2 structure.

The calculation puts the density of states at the Fermi level at 0.9339 states/eV/atom. As for the uncorrected formation energy: 0.36 eV per atom.

Cell and atoms, written as POSCAR:
```
NbPSe2
1.0
-3.070 3.070 5.412
3.070 -3.070 5.412
3.070 3.070 -5.412
Nb P Se
2 2 4
Cartesian
0.000 0.000 0.000 Nb
0.000 3.070 2.706 Nb
3.070 0.000 2.706 P
0.000 0.000 5.412 P
4.605 1.437 -1.353 Se
1.437 1.535 1.353 Se
-1.535 1.633 4.059 Se
1.633 1.535 6.765 Se
```

Entry 3:
Density functional theory data (PBE-GGA) for a geometry-optimized Nb2P2Se structure.

The calculation puts the density of states at the Fermi level at 0.5046 states/eV/atom. As for the uncorrected formation energy: -0.63 eV per atom.

Cell and atoms, written as POSCAR:
```
Nb2P2Se
1.0
7.107 0.000 0.000
0.000 7.107 0.000
0.000 0.000 3.292
Nb P Se
4 4 2
Cartesian
1.084 2.470 0.000 Nb
2.470 6.024 0.000 Nb
4.638 1.084 0.000 Nb
6.024 4.638 0.000 Nb
0.937 4.491 1.646 P
2.617 0.937 1.646 P
4.491 6.170 1.646 P
6.170 2.617 1.646 P
0.000 0.000 0.000 Se
3.554 3.554 0.000 Se
```

Entry 4:
Density functional theory data (PBE-GGA) for a geometry-optimized SrNbP2Se8 structure.

The calculation puts the density of states at the Fermi level at 0.4466 states/eV/atom. As for the uncorrected formation energy: -0.47 eV per atom.

Cell and atoms, written as POSCAR:
```
SrNbP2Se8
1.0
6.303 0.000 0.000
-3.152 5.459 0.000
0.000 0.000 8.992
Sr Nb P Se
1 1 2 8
Cartesian
0.000 0.000 0.000 Sr
0.000 0.000 4.496 Nb
0.000 3.639 6.651 P
3.152 1.820 2.341 P
-2.001 3.723 2.935 Se
0.928 1.864 2.935 Se
0.000 3.639 8.827 Se
2.078 0.128 6.057 Se
1.073 5.331 2.935 Se
3.152 1.820 0.165 Se
2.224 3.595 6.057 Se
5.153 1.736 6.057 Se
```

The calculation returns the following DFT total energy values, one per record and in order: -5.21; -5.25; -7.52; -4.67 eV per atom.